No. 1
Entry from the Alexandria database: Pm2Sm2Er4Th after structural relaxation (PBE-GGA).

## Properties
- Total DFT energy (no corrections): -4.956 eV/atom
- SG: No. 12
- Energy relative to the elements: 0.00 eV per atom
- DOS at the Fermi energy: 1.39 states/eV/atom
- Crystal system: monoclinic

The structure in CIF format:
```
data_Pm2Sm2Er4Th
_chemical_formula_sum 'Pm2 Sm2 Er4 Th1'
_space_group_name_H-M_alt 'P 1'
_space_group_IT_number 1
_cell_length_a 3.609
_cell_length_b 9.539
_cell_length_c 9.570
_cell_angle_alpha 115.47
_cell_angle_beta 90.00
_cell_angle_gamma 100.90
loop_
_space_group_symop_operation_xyz
'x,y,z'
loop_
_atom_site_label
_atom_site_type_symbol
_atom_site_fract_x
_atom_site_fract_y
_atom_site_fract_z
Er1 Er 0.481 0.962 0.672
Er2 Er 0.184 0.367 0.336
Er3 Er 0.816 0.633 0.664
Er4 Er 0.519 0.038 0.328
Pm1 Pm 0.664 0.327 0.006
Pm2 Pm 0.336 0.673 0.994
Sm1 Sm 0.853 0.707 0.337
Sm2 Sm 0.147 0.293 0.663
Th1 Th 0.000 0.000 0.000
```

---

No. 2
Entry from the Alexandria database: PmSm3ErTh after structural relaxation (PBE-GGA).

## Properties
- Total DFT energy (no corrections): -4.941 eV/atom
- SG: No. 12
- Energy relative to the elements: 0.21 eV per atom
- DOS at the Fermi energy: 1.32 states/eV/atom
- Crystal system: monoclinic

The structure in CIF format:
```
data_PmSm3ErTh
_chemical_formula_sum 'Pm2 Sm6 Er2 Th2'
_space_group_name_H-M_alt 'P 1'
_space_group_IT_number 1
_cell_length_a 5.700
_cell_length_b 10.598
_cell_length_c 6.920
_cell_angle_alpha 88.34
_cell_angle_beta 90.00
_cell_angle_gamma 105.60
loop_
_space_group_symop_operation_xyz
'x,y,z'
loop_
_atom_site_label
_atom_site_type_symbol
_atom_site_fract_x
_atom_site_fract_y
_atom_site_fract_z
Pm1 Pm 0.645 0.290 0.041
Pm2 Pm 0.355 0.710 0.959
Th1 Th 0.942 0.884 0.711
Th2 Th 0.058 0.116 0.289
Sm1 Sm 0.220 0.440 0.250
Sm2 Sm 0.159 0.319 0.746
Sm3 Sm 0.780 0.560 0.750
Sm4 Sm 0.481 0.961 0.250
Sm5 Sm 0.841 0.681 0.254
Sm6 Sm 0.519 0.039 0.750
Er1 Er 0.351 0.702 0.521
Er2 Er 0.649 0.298 0.479
```

---

No. 3
Entry from the Alexandria database: Pm5Sm2ErTh after structural relaxation (PBE-GGA).

## Properties
- Total DFT energy (no corrections): -4.870 eV/atom
- SG: No. 36
- Energy relative to the elements: 0.15 eV per atom
- DOS at the Fermi energy: 1.51 states/eV/atom
- Crystal system: orthorhombic

The structure in CIF format:
```
data_Pm5Sm2ErTh
_chemical_formula_sum 'Pm10 Sm4 Er2 Th2'
_space_group_name_H-M_alt 'P 1'
_space_group_IT_number 1
_cell_length_a 5.676
_cell_length_b 10.682
_cell_length_c 10.588
_cell_angle_alpha 90.00
_cell_angle_beta 90.00
_cell_angle_gamma 105.41
loop_
_space_group_symop_operation_xyz
'x,y,z'
loop_
_atom_site_label
_atom_site_type_symbol
_atom_site_fract_x
_atom_site_fract_y
_atom_site_fract_z
Pm1 Pm 0.518 0.036 0.245
Pm2 Pm 0.482 0.964 0.745
Pm3 Pm 0.385 0.770 0.025
Pm4 Pm 0.725 0.449 0.814
Pm5 Pm 0.275 0.551 0.314
Pm6 Pm 0.014 0.028 0.018
Pm7 Pm 0.706 0.412 0.205
Pm8 Pm 0.615 0.230 0.525
Pm9 Pm 0.294 0.588 0.705
Pm10 Pm 0.986 0.972 0.518
Sm1 Sm 0.885 0.770 0.812
Sm2 Sm 0.115 0.230 0.312
Sm3 Sm 0.886 0.772 0.234
Sm4 Sm 0.114 0.228 0.734
Th1 Th 0.198 0.397 0.012
Th2 Th 0.802 0.603 0.512
Er1 Er 0.595 0.190 0.960
Er2 Er 0.405 0.810 0.460
```

---

No. 4
Entry from the Alexandria database: Pm6SmEr2Th after structural relaxation (PBE-GGA).

## Properties
- Total DFT energy (no corrections): -4.834 eV/atom
- SG: No. 15
- Energy relative to the elements: 0.14 eV per atom
- DOS at the Fermi energy: 1.44 states/eV/atom
- Crystal system: monoclinic

The structure in CIF format:
```
data_Pm6SmEr2Th
_chemical_formula_sum 'Pm12 Sm2 Er4 Th2'
_space_group_name_H-M_alt 'P 1'
_space_group_IT_number 1
_cell_length_a 9.695
_cell_length_b 8.840
_cell_length_c 8.840
_cell_angle_alpha 115.95
_cell_angle_beta 93.96
_cell_angle_gamma 93.96
loop_
_space_group_symop_operation_xyz
'x,y,z'
loop_
_atom_site_label
_atom_site_type_symbol
_atom_site_fract_x
_atom_site_fract_y
_atom_site_fract_z
Sm1 Sm 0.750 0.594 0.406
Sm2 Sm 0.250 0.406 0.594
Pm1 Pm 0.382 0.514 0.298
Pm2 Pm 0.815 0.425 0.986
Pm3 Pm 0.618 0.486 0.702
Pm4 Pm 0.559 0.761 0.108
Pm5 Pm 0.441 0.239 0.892
Pm6 Pm 0.685 0.014 0.575
Pm7 Pm 0.118 0.702 0.486
Pm8 Pm 0.185 0.575 0.014
Pm9 Pm 0.059 0.108 0.761
Pm10 Pm 0.882 0.298 0.514
Pm11 Pm 0.315 0.986 0.425
Pm12 Pm 0.941 0.892 0.239
Th1 Th 0.750 0.032 0.968
Th2 Th 0.250 0.968 0.032
Er1 Er 0.552 0.199 0.290
Er2 Er 0.948 0.710 0.801
Er3 Er 0.448 0.801 0.710
Er4 Er 0.052 0.290 0.199
```

---

No. 5
Entry from the Alexandria database: PmSmErTh2 after structural relaxation (PBE-GGA).

## Properties
- Total DFT energy (no corrections): -5.387 eV/atom
- SG: No. 63
- Energy relative to the elements: 0.39 eV per atom
- DOS at the Fermi energy: 1.49 states/eV/atom
- Crystal system: orthorhombic

The structure in CIF format:
```
data_PmSmErTh2
_chemical_formula_sum 'Pm2 Sm2 Er2 Th4'
_space_group_name_H-M_alt 'P 1'
_space_group_IT_number 1
_cell_length_a 6.699
_cell_length_b 6.691
_cell_length_c 8.524
_cell_angle_alpha 113.11
_cell_angle_beta 90.00
_cell_angle_gamma 90.00
loop_
_space_group_symop_operation_xyz
'x,y,z'
loop_
_atom_site_label
_atom_site_type_symbol
_atom_site_fract_x
_atom_site_fract_y
_atom_site_fract_z
Th1 Th 0.000 0.747 0.000
Th2 Th 0.500 0.747 0.000
Th3 Th 0.000 0.253 0.000
Th4 Th 0.500 0.253 0.000
Sm1 Sm 0.750 0.743 0.485
Sm2 Sm 0.250 0.257 0.515
Er1 Er 0.250 0.651 0.302
Er2 Er 0.750 0.349 0.698
Pm1 Pm 0.250 0.848 0.696
Pm2 Pm 0.750 0.152 0.304
```

---

No. 6
Entry from the Alexandria database: Pm2SmEr4Th after structural relaxation (PBE-GGA).

## Properties
- Total DFT energy (no corrections): -4.958 eV/atom
- SG: No. 47
- Energy relative to the elements: 0.03 eV per atom
- DOS at the Fermi energy: 1.36 states/eV/atom
- Crystal system: orthorhombic

The structure in CIF format:
```
data_Pm2SmEr4Th
_chemical_formula_sum 'Pm2 Sm1 Er4 Th1'
_space_group_name_H-M_alt 'P 1'
_space_group_IT_number 1
_cell_length_a 5.091
_cell_length_b 5.075
_cell_length_c 11.149
_cell_angle_alpha 62.96
_cell_angle_beta 90.00
_cell_angle_gamma 90.00
loop_
_space_group_symop_operation_xyz
'x,y,z'
loop_
_atom_site_label
_atom_site_type_symbol
_atom_site_fract_x
_atom_site_fract_y
_atom_site_fract_z
Er1 Er 0.500 0.746 0.254
Er2 Er 0.500 0.254 0.746
Er3 Er 0.000 0.246 0.254
Er4 Er 0.000 0.754 0.746
Th1 Th 0.000 0.500 0.500
Sm1 Sm 0.500 0.500 0.000
Pm1 Pm 0.500 0.000 0.500
Pm2 Pm 0.000 0.000 0.000
```

---

No. 7
Entry from the Alexandria database: Pm6Sm3Er2Th after structural relaxation (PBE-GGA).

## Properties
- Total DFT energy (no corrections): -4.906 eV/atom
- SG: No. 12
- Energy relative to the elements: 0.03 eV per atom
- DOS at the Fermi energy: 1.41 states/eV/atom
- Crystal system: monoclinic

The structure in CIF format:
```
data_Pm6Sm3Er2Th
_chemical_formula_sum 'Pm6 Sm3 Er2 Th1'
_space_group_name_H-M_alt 'P 1'
_space_group_IT_number 1
_cell_length_a 6.254
_cell_length_b 6.254
_cell_length_c 12.024
_cell_angle_alpha 94.99
_cell_angle_beta 94.99
_cell_angle_gamma 119.91
loop_
_space_group_symop_operation_xyz
'x,y,z'
loop_
_atom_site_label
_atom_site_type_symbol
_atom_site_fract_x
_atom_site_fract_y
_atom_site_fract_z
Pm1 Pm 0.587 0.917 0.753
Pm2 Pm 0.083 0.413 0.247
Pm3 Pm 0.753 0.753 0.247
Pm4 Pm 0.917 0.587 0.753
Pm5 Pm 0.247 0.247 0.753
Pm6 Pm 0.413 0.083 0.247
Sm1 Sm 0.167 0.833 0.500
Sm2 Sm 0.500 0.500 0.500
Sm3 Sm 0.833 0.167 0.500
Er1 Er 0.667 0.333 0.000
Er2 Er 0.333 0.667 0.000
Th1 Th 0.000 0.000 0.000
```

---

No. 8
Entry from the Alexandria database: Pm5SmEr2Th after structural relaxation (PBE-GGA).

## Properties
- Total DFT energy (no corrections): -4.842 eV/atom
- SG: No. 36
- Energy relative to the elements: 0.16 eV per atom
- DOS at the Fermi energy: 1.50 states/eV/atom
- Crystal system: orthorhombic

The structure in CIF format:
```
data_Pm5SmEr2Th
_chemical_formula_sum 'Pm10 Sm2 Er4 Th2'
_space_group_name_H-M_alt 'P 1'
_space_group_IT_number 1
_cell_length_a 5.675
_cell_length_b 10.581
_cell_length_c 10.564
_cell_angle_alpha 90.00
_cell_angle_beta 90.00
_cell_angle_gamma 105.56
loop_
_space_group_symop_operation_xyz
'x,y,z'
loop_
_atom_site_label
_atom_site_type_symbol
_atom_site_fract_x
_atom_site_fract_y
_atom_site_fract_z
Pm1 Pm 0.388 0.777 0.027
Pm2 Pm 0.706 0.413 0.204
Pm3 Pm 0.277 0.555 0.313
Pm4 Pm 0.985 0.969 0.522
Pm5 Pm 0.612 0.223 0.527
Pm6 Pm 0.015 0.031 0.022
Pm7 Pm 0.294 0.587 0.704
Pm8 Pm 0.478 0.956 0.742
Pm9 Pm 0.522 0.044 0.242
Pm10 Pm 0.723 0.445 0.813
Sm1 Sm 0.591 0.181 0.950
Sm2 Sm 0.409 0.819 0.450
Er1 Er 0.887 0.775 0.236
Er2 Er 0.116 0.232 0.317
Er3 Er 0.113 0.225 0.736
Er4 Er 0.884 0.768 0.817
Th1 Th 0.199 0.398 0.012
Th2 Th 0.801 0.602 0.512
```